Below is a geometry-optimized Pa2NbO7 structure, with properties calculated at the GGA-PBE level.

a b c (Å): 3.8289 3.8289 10.3468
angles (deg): 79.34 79.34 60.00
Last column: nearest neighbours and their distance in Å.
Fractional coordinates of all 10 atoms:
Pa 0.0694 0.0694 0.7918  4 O 2.10-2.25
Pa 0.9306 0.9306 0.2082  4 O 2.10-2.25
Nb 0.5000 0.5000 0.5000  8 O 2.10-2.28
O 0.7225 0.7225 0.8325  3 Pa 2.25
O 0.5691 0.5691 0.2926  1 Nb 2.10
O 0.0000 0.0000 0.0000  2 Pa 2.10
O 0.2775 0.2775 0.1675  3 Pa 2.25
O 0.1478 0.1478 0.5567  3 Nb 2.28, 1 Pa 2.38, 3 O 2.49
O 0.8522 0.8522 0.4433  3 Nb 2.28, 1 Pa 2.38, 3 O 2.49
O 0.4309 0.4309 0.7074  1 Nb 2.10

uncorrected energy = -95.266 eV per formula unit
space group = No. 166
raw formation energy = -3.1497 eV/atom
DOS at the Fermi energy = 4.1 states/eV/cell